DFT (PBE) results for an optimized crystal structure of Rb2AgHgH6.

Cell lengths 6.0371, 6.0370, 6.0122 Å; angles 59.88, 59.88, 89.99 degrees
Atoms (fractional coordinates):
Rb 0.7500 0.2500 0.5000
H 0.7959 0.7959 0.4083
Hg 0.0000 0.0000 0.0000
H 0.2893 0.7108 0.0000
Rb 0.2500 0.7500 0.5000
H 0.2899 0.2899 0.0009
H 0.7101 0.7101 0.9991
H 0.2041 0.2041 0.5917
Ag 0.5000 0.5000 0.0000
H 0.7107 0.2892 0.0000

Output
Its total energy is -2.486 eV per atom. The calculated density comes out at 5.2 g/cm³.